8
Lattice="-0.908 1.081 -4.368 -4.355 -1.331 0.576 -5.200 9.544 1.032" Properties=species:S:1:pos:R:3 comment="MnHgPb2 | the Alexandria database | PBE | relaxed" dos_at_fermi_per_ev_atom=0.6327 e_form_mev_per_atom=419 dft_energy_ev_per_atom=-3.80 pbc="T T T"
Mn -6.093 4.044 -0.144
Pb -4.145 1.700 0.029
Hg 0.000 0.000 0.000
Mn -2.632 -0.125 -1.896
Pb -8.463 6.952 -2.550
Hg -4.370 5.250 -2.616
Pb -2.403 2.885 -2.357
Pb -5.917 7.051 -0.643